Here is Dy2YCu after structural relaxation from Alexandria. Energies are from PBE-GGA.

abc: 3.4988 3.4988 8.6810
angles: 90.00 90.00 90.00
Last column: nearest neighbours and their distance in Å.
Fractional coordinates of all 4 atoms:
Dy 0.0000 0.0000 0.1966  4 Cu 3.01
Dy 0.0000 0.0000 0.8034  4 Cu 3.01
Y 0.5000 0.5000 0.5000  4 Y 3.50, 8 Dy 3.61
Cu 0.5000 0.5000 0.0000  8 Dy 3.01

Crystal system: tetragonal
Offset from the most stable computed form, meV per atom: 13.2
Energy of formation, eV per atom: -0.097
E, eV/atom: -5.038